First-principles (GGA+U) data for a geometry-optimized MgCoBi2O6 structure, as listed in the Alexandria database.

Summary:
final energy: -5.78 eV per atom
space-group type: P2_1/c
spin magnetization: 0.00 μB/f.u.

Unit cell a=5.366 b=5.665 c=7.669 alpha=90.00 beta=89.87 gamma=90.00
Positions (direct):
O 0.296 0.686 0.042
O 0.903 0.534 0.240
O 0.796 0.814 0.542
O 0.815 0.787 0.949
O 0.097 0.466 0.760
O 0.185 0.213 0.051
O 0.704 0.314 0.958
O 0.204 0.186 0.458
O 0.403 0.966 0.740
O 0.315 0.713 0.449
O 0.597 0.034 0.260
O 0.685 0.287 0.551
Co 0.500 0.000 0.500
Co 0.000 0.500 0.000
Bi 0.511 0.561 0.754
Bi 0.489 0.439 0.246
Bi 0.011 0.939 0.254
Bi 0.989 0.061 0.746
Mg 0.000 0.500 0.500
Mg 0.500 0.000 0.000